VASP calculation (PBE with a Hubbard U) on a relaxed CaMoF6 crystal.

Cell: 6.031 6.031 6.031 Å, 57.24 57.24 57.24°
Element x y z (fractional)
1 Ca 0.000 0.000 0.000
2 Mo 0.500 0.500 0.500
3 F 0.189 0.730 0.345
4 F 0.270 0.655 0.811
5 F 0.345 0.189 0.730
6 F 0.655 0.811 0.270
7 F 0.730 0.345 0.189
8 F 0.811 0.270 0.655

## Properties
final energy: -5.637 eV per atom
space group: R-3 (148)